No. 1
First-principles (PBE) data for a relaxed LaPm5SmEr2 crystal, as listed in Alexandria.

Results
ΔH_f (0 K) (eV/atom): 0.15

Cell: 5.7085 20.2687 10.6978 Å, 90.00 90.00 90.00°
Space group Cmc2_1 (No. 36)
Unique sites:
La (0.0000, 0.0830, 0.0000)
Pm (0.0000, 0.0220, 0.2910)
Pm (0.0000, 0.1116, 0.5774)
Pm (0.0000, 0.2039, 0.2575)
Pm (0.0000, 0.2189, 0.8636)
Pm (0.0000, 0.4833, 0.5770)
Sm (0.0000, 0.2997, 0.5627)
Er (0.0000, 0.3840, 0.8733)
Er (0.0000, 0.3878, 0.2854)

---

No. 2
First-principles (PBE) data for a relaxed Cs2SrSnRh crystal, as listed in Alexandria.

Results
ΔH_f (0 K) (eV/atom): 0.27

Cell: 6.7429 6.7429 5.1638 Å, 90.00 90.00 90.00°
Space group P4/mmm (No. 123)
Unique sites:
Cs (0.0000, 0.5000, 0.0000)
Sr (0.0000, 0.0000, 0.5000)
Sn (0.5000, 0.5000, 0.5000)
Rh (0.5000, 0.5000, 0.0000)